The following is a DFT calculation (GGA-PBE) of crystalline HoTmGe at its relaxed geometry.

Cell: 12.6384 6.8812 5.7104 Å, 90.00 90.00 90.00°
Fractional coordinates of all 18 atoms:
Ho 0.0000 0.0843 0.0000
Ho 0.1668 0.4392 0.7180
Ho 0.3332 0.5608 0.2180
Ho 0.5000 0.9157 0.5000
Ho 0.6668 0.5608 0.2180
Ho 0.8332 0.4392 0.7180
Tm 0.0000 0.5648 0.2193
Tm 0.1670 0.9196 0.5002
Tm 0.3330 0.0804 0.0002
Tm 0.5000 0.4352 0.7193
Tm 0.6670 0.0804 0.0002
Tm 0.8330 0.9196 0.5002
Ge 0.0000 0.2018 0.5080
Ge 0.1663 0.7999 0.0106
Ge 0.3337 0.2001 0.5106
Ge 0.5000 0.7982 0.0080
Ge 0.6663 0.2001 0.5106
Ge 0.8337 0.7999 0.0106

Computed properties:
Total magnetization   0.00 μB/f.u.
DFT formation energy   -1.5 eV per formula unit
SG   Pmn2_1, No. 31



The following is a DFT calculation (GGA-PBE) of crystalline AsIr3 at its relaxed geometry.

Cell: 5.3103 5.3103 4.4951 Å, 90.00 90.00 100.12°
Fractional coordinates of all 8 atoms:
As 0.1365 0.8635 0.7500
As 0.8635 0.1365 0.2500
Ir 0.2265 0.3756 0.7500
Ir 0.2790 0.7210 0.2500
Ir 0.3756 0.2265 0.2500
Ir 0.6244 0.7735 0.7500
Ir 0.7210 0.2790 0.7500
Ir 0.7735 0.6244 0.2500

Computed properties:
Total magnetization   0.00 μB/f.u.
DFT formation energy   0.8 eV per formula unit
SG   Cmcm, No. 63
Offset from the most stable computed form   117 meV per atom



Number 1: E_tot -5.04 eV/atom. Number 2: E_tot -7.61 eV/atom.